Entry from Alexandria via LeMat-Bulk: Pt2Rh3W3 after structural relaxation (PBE-GGA). Values from VASP.

Geometry as Quantum ESPRESSO input:
```
&SYSTEM
  ibrav = 0, nat = 8, ntyp = 3
/
ATOMIC_SPECIES
Pt 195.08 Pt.upf
Rh 102.91 Rh.upf
W 183.84 W.upf
ATOMIC_POSITIONS angstrom
Pt 0.000 0.000 1.916
Pt 0.000 0.000 5.775
Rh 0.000 2.011 3.845
Rh 1.949 0.000 0.000
Rh 1.949 0.000 3.845
W 0.000 2.011 0.000
W 1.949 2.011 1.915
W 1.949 2.011 5.776
CELL_PARAMETERS angstrom
3.898 0.000 0.000
0.000 4.022 0.000
0.000 0.000 7.691
```

The value obtained for the total magnetization is 0.0 μB per cell. The space group is Pmmm (47). Its calculated formation energy is -1.69 eV/f.u. The calculation puts the calculated density at 17.2 g/cm3.